This record from Alexandria describes a relaxed CaCuSi2O6 crystal. The functional is PBE.

The total energy comes out at -0.5185 Ry per atom. The calculation puts the total moment at 1.0 μB per formula unit.

The structure belongs to space group C2/c (No. 15); the cell edges are 10.012, 9.207 and 5.272 Å and the angles 90.00°, 107.69° and 90.00°. The distinct sites, in fractional coordinates, are Ca at (0.000, 0.205, 0.250), Cu at (0.000, 0.401, 0.750), Si at (0.216, 0.092, 0.781), O at (0.113, 0.409, 0.128), O at (0.143, 0.245, 0.681) and O at (0.153, 0.018, 0.013).